Entry from Alexandria: an optimized crystal structure of Na4CaRh3O8 (PBE).

Unit cell a=6.3787 b=6.4796 c=6.3786 alpha=119.49 beta=120.00 gamma=90.00
Last column: magnetic moment on the atom in μB.
Element x y z (fractional)
O1 0.7317 0.6951 0.4634  0.00
O2 0.2904 0.2920 0.0412  0.02
O3 0.2492 0.7080 0.9588  0.02
O4 0.2492 0.7080 0.4984  0.02
O5 0.7096 0.7080 0.9588  0.02
O6 0.7508 0.2920 0.0412  0.02
O7 0.2683 0.3049 0.5366  0.00
O8 0.7508 0.2920 0.5016  0.02
Na1 0.5000 0.0000 0.5000  0.00
Na2 0.0000 0.0000 0.0000  0.00
Na3 0.0000 0.0000 0.5000  0.00
Na4 0.5000 0.0000 0.0000  0.00
Rh1 0.5000 0.5000 0.5000  0.06
Rh2 0.0000 0.5000 0.5000  0.06
Rh3 0.5000 0.5000 0.0000  0.06
Ca1 0.0000 0.5000 0.0000  0.00

Spin magnetization ... 0.30 μB per formula unit
ΔE_f (raw) ... -1381 meV per atom
Space group ... R-3m
Total energy ... -5.69 eV/atom
DOS(E_F) ... 5.21 states/eV per cell

Entry from Alexandria: an optimized crystal structure of Na2Ca2RhO6 (PBE).

Unit cell a=5.6848 b=5.6848 c=5.8614 alpha=98.22 beta=98.22 gamma=118.53
Last column: magnetic moment on the atom in μB.
Element x y z (fractional)
O1 0.2207 0.2207 0.2979  0.19
O2 0.7793 0.7793 0.7021  0.19
O3 0.0500 0.3446 0.6973  0.20
O4 0.3446 0.0500 0.6973  0.20
O5 0.6554 0.9500 0.3027  0.20
O6 0.9500 0.6554 0.3027  0.20
Ca1 0.3373 0.6627 0.5000  0.01
Ca2 0.6627 0.3373 0.5000  0.01
Na1 0.8464 0.1536 0.0000  0.01
Na2 0.1536 0.8464 0.0000  0.01
Rh1 0.0000 0.0000 0.5000  1.44

Spin magnetization ... 3.00 μB per formula unit
ΔE_f (raw) ... -1682 meV per atom
Space group ... C2/m
Total energy ... -5.66 eV/atom
DOS(E_F) ... 1.61 states/eV per cell

Entry from Alexandria: an optimized crystal structure of Na2CaRhO4 (PBE).

Unit cell a=3.2526 b=5.5811 c=5.7685 alpha=109.04 beta=90.00 gamma=90.00
Last column: magnetic moment on the atom in μB.
Element x y z (fractional)
O1 0.0000 0.7709 0.2165  0.12
O2 0.0000 0.2291 0.7835  0.12
O3 0.5000 0.2039 0.2025  0.06
O4 0.5000 0.7961 0.7975  0.06
Rh1 0.0000 0.0000 0.0000  0.55
Na1 0.5000 0.0000 0.5000  0.00
Na2 0.0000 0.5000 0.5000  0.00
Ca1 0.5000 0.5000 0.0000  0.00

Spin magnetization ... 1.00 μB per formula unit
ΔE_f (raw) ... -1607 meV per atom
Space group ... P2/m
Total energy ... -5.58 eV/atom
DOS(E_F) ... 4.18 states/eV per cell